Density functional theory data (PBE-GGA) for a relaxed ZnAg2B2O6 crystal.

Summary:
E   -5.74 eV per atom
Symmetry   C2/m, No. 12

abc: 4.957 4.957 5.914
angles: 113.34 113.34 62.20
Sites, in units of the cell vectors:
Zn1 0.000 0.000 0.000
Ag1 0.200 0.200 0.682
Ag2 0.800 0.800 0.318
B1 0.448 0.448 0.233
B2 0.552 0.552 0.767
O1 0.226 0.681 0.716
O2 0.270 0.270 0.135
O3 0.319 0.774 0.284
O4 0.681 0.226 0.716
O5 0.730 0.730 0.865
O6 0.774 0.319 0.284